Below is TbAlPd6 after structural relaxation, with properties calculated at the GGA-PBE level.

Summary:
D(E_F)	3.7	states/eV/cell
raw total energy	-5.261	eV per atom
distance to the lowest polymorph of the same formula	410.5	meV per atom
space group	R-3m
spin magnetization	0.00	μB/f.u.
E_form	-319	meV/atom

a = 5.480 Å, b = 5.480 Å, c = 7.056 Å
α = 67.15°, β = 67.15°, γ = 60.00°
Fractional positions:
Pd  0.076  0.076  0.285
Pd  0.924  0.437  0.715
Pd  0.924  0.924  0.715
Pd  0.437  0.924  0.715
Pd  0.076  0.563  0.285
Pd  0.563  0.076  0.285
Al  0.000  0.000  0.000
Tb  0.500  0.500  0.500